Be2SiTe: relaxed, PBEsol.

Summary:
N(E_F)	0.3344	states/eV per atom
excess energy over the best structure of this formula in the dataset	0.2519	eV/atom
DFT total energy	-3.70	eV per atom

Lattice parameters (Å, degrees): 3.802 5.635 6.147 90.00 90.00 90.00
Space group Immm (No. 71)
Unique sites:
Be1 0.000 0.000 0.187 x4
Si1 0.000 0.500 0.500 x2
Te1 0.000 0.500 0.000 x2

---

Te2PbCl: relaxed, PBEsol.

Summary:
N(E_F)	0.7576	states/eV per atom
excess energy over the best structure of this formula in the dataset	0.1413	eV/atom
DFT total energy	-3.41	eV per atom

Lattice parameters (Å, degrees): 4.249 4.249 6.496 90.00 90.00 90.00
Space group P4/mmm (No. 123)
Unique sites:
Te1 0.000 0.000 0.214 x2
Pb1 0.500 0.500 0.000 x1
Cl1 0.500 0.500 0.500 x1

---

Repeat the first record exactly.
Be2SiTe: relaxed, PBEsol.

Summary:
N(E_F)	0.3344	states/eV per atom
excess energy over the best structure of this formula in the dataset	0.2519	eV/atom
DFT total energy	-3.70	eV per atom

Lattice parameters (Å, degrees): 3.802 5.635 6.147 90.00 90.00 90.00
Space group Immm (No. 71)
Unique sites:
Be1 0.000 0.000 0.187 x4
Si1 0.000 0.500 0.500 x2
Te1 0.000 0.500 0.000 x2

---

Q: Number 1 is which compound?
A: Be2SiTe

---

Repeat the first record exactly.
Be2SiTe: relaxed, PBEsol.

Summary:
N(E_F)	0.3344	states/eV per atom
excess energy over the best structure of this formula in the dataset	0.2519	eV/atom
DFT total energy	-3.70	eV per atom

Lattice parameters (Å, degrees): 3.802 5.635 6.147 90.00 90.00 90.00
Space group Immm (No. 71)
Unique sites:
Be1 0.000 0.000 0.187 x4
Si1 0.000 0.500 0.500 x2
Te1 0.000 0.500 0.000 x2

---

Q: The highest excess energy over the best structure of this formula in the dataset belongs to which entry?
A: Be2SiTe